VASP calculation (PBE) on a relaxed structure of K2Rb2Te.

```
10
Lattice="9.169 0.000 0.000 0.000 9.169 0.000 0.000 0.000 7.195" Properties=species:S:1:pos:R:3 pbc="T T T"
K 1.494 3.091 0.000
K 3.091 7.675 0.000
K 6.078 1.494 0.000
K 7.675 6.078 0.000
Rb 1.698 6.283 3.597
Rb 2.886 1.698 3.597
Rb 6.283 7.471 3.597
Rb 7.471 2.886 3.597
Te 0.000 0.000 0.000
Te 4.585 4.585 0.000
```

The energy above the most stable polymorph in this dataset is 0 meV/atom. The space-group type is No. 127. The raw formation energy is -0.419 eV/atom. The crystal system is tetragonal.

VASP calculation (PBE) on a relaxed structure of CaEr2Au.

```
4
Lattice="1.919 1.108 9.985 -1.919 1.108 9.985 0.000 -2.216 9.985" Properties=species:S:1:pos:R:3 pbc="T T T"
Ca 0.000 0.000 0.000
Er 0.000 0.000 6.872
Er 0.000 0.000 23.083
Au 0.000 0.000 14.978
```

The energy above the most stable polymorph in this dataset is 93 meV/atom. The space-group type is No. 166. The value obtained for the formation energy is -1.07 eV per formula unit. The crystal system is trigonal.

VASP calculation (PBE) on a relaxed structure of Sr2ReSi.

```
4
Lattice="3.426 0.000 0.000 0.000 3.426 0.000 0.000 0.000 9.074" Properties=species:S:1:pos:R:3 pbc="T T T"
Sr 0.000 0.000 0.000
Sr 1.713 1.713 3.820
Re 0.000 0.000 6.090
Si 1.713 1.713 6.892
```

The space-group type is No. 99. The raw formation energy is 0.153 eV/atom. The crystal system is tetragonal.

VASP calculation (PBE) on a relaxed structure of MnIn2Ag.

```
4
Lattice="0.000 3.414 3.414 3.414 0.000 3.414 3.414 3.414 0.000" Properties=species:S:1:pos:R:3 pbc="T T T"
Mn 0.000 0.000 0.000
In 1.707 1.707 1.707
In 5.120 5.120 5.120
Ag 3.414 3.414 3.414
```

The energy above the most stable polymorph in this dataset is 58 meV/atom. The space-group type is No. 225. The value obtained for the formation energy is 0.80 eV per formula unit. The crystal system is cubic.

VASP calculation (PBE) on a relaxed structure of LiAlI2.

```
8
Lattice="-3.674 3.674 6.136 3.674 -3.674 6.136 3.674 3.674 -6.136" Properties=species:S:1:pos:R:3 pbc="T T T"
Li 0.000 0.000 0.000
Li 0.000 3.674 3.068
Al 3.674 0.000 3.068
Al 0.000 0.000 6.136
I 5.511 1.453 -1.534
I 1.453 1.837 1.534
I -1.837 2.221 4.602
I 2.221 1.837 7.671
```

The energy above the most stable polymorph in this dataset is 0 meV/atom. The space-group type is No. 122. The raw formation energy is -0.493 eV/atom. The crystal system is tetragonal.

VASP calculation (PBE) on a relaxed structure of AcPu2Ru.

```
4
Lattice="3.579 0.000 0.000 0.000 3.579 0.000 0.000 0.000 8.232" Properties=species:S:1:pos:R:3 pbc="T T T"
Ac 0.000 0.000 0.000
Pu 1.790 1.790 2.602
Pu 1.790 1.790 5.630
Ru 0.000 0.000 4.116
```

The energy above the most stable polymorph in this dataset is 0 meV/atom. The space-group type is No. 123. The value obtained for the formation energy is 0.29 eV per formula unit. The crystal system is tetragonal.

Repeat the second record exactly.
VASP calculation (PBE) on a relaxed structure of CaEr2Au.

```
4
Lattice="1.919 1.108 9.985 -1.919 1.108 9.985 0.000 -2.216 9.985" Properties=species:S:1:pos:R:3 pbc="T T T"
Ca 0.000 0.000 0.000
Er 0.000 0.000 6.872
Er 0.000 0.000 23.083
Au 0.000 0.000 14.978
```

The energy above the most stable polymorph in this dataset is 93 meV/atom. The space-group type is No. 166. The value obtained for the formation energy is -1.07 eV per formula unit. The crystal system is trigonal.

What is the formula in the sixth record? AcPu2Ru